1.
This record from Alexandria via LeMat-Bulk describes a geometry-optimized BeRe2Au structure. The functional is PBE.

Lattice parameters (Å, degrees): 4.3544 4.3544 4.3544 60.00 60.00 60.00
Last column: nearest neighbours and their distance in Å.
Atoms (fractional coordinates):
Be: 0.0000 0.0000 0.0000  4 Au 2.67, 4 Re 2.67
Re: 0.2500 0.2500 0.2500  4 Re 2.67, 4 Be 2.67
Re: 0.5000 0.5000 0.5000  4 Re 2.67, 4 Au 2.67
Au: 0.7500 0.7500 0.7500  4 Re 2.67, 4 Be 2.67

Results
Magnetic moment, μB/atom: 0.00
Theoretical density, g/cm3: 16.45
Calculated formation energy, meV per atom: 470
E, eV/cell: -30.02
Density of states at the Fermi level, states/eV per cell: 3.0
Space group: F-43m, No. 216

2.
This record from Alexandria via LeMat-Bulk describes a geometry-optimized EuYAgPd structure. The functional is PBE.

Lattice parameters (Å, degrees): 5.1459 5.1459 5.1459 60.00 60.00 60.00
Last column: nearest neighbours and their distance in Å.
Atoms (fractional coordinates):
Eu: 0.0000 0.0000 0.0000  4 Ag 3.15, 4 Pd 3.15
Y: 0.5000 0.5000 0.5000  4 Ag 3.15, 4 Pd 3.15
Ag: 0.7500 0.7500 0.7500  4 Eu 3.15, 4 Y 3.15
Pd: 0.2500 0.2500 0.2500  4 Y 3.15, 4 Eu 3.15

Results
Magnetic moment, μB/atom: 1.77
Theoretical density, g/cm3: 7.84
Calculated formation energy, meV per atom: -490
E, eV/cell: -26.74
Density of states at the Fermi level, states/eV per cell: 9.1
Space group: F-43m, No. 216

3.
This record from Alexandria via LeMat-Bulk describes a geometry-optimized PaCdHg2 structure. The functional is PBE.

Lattice parameters (Å, degrees): 4.9346 4.9346 4.1153 90.00 90.00 90.00
Last column: nearest neighbours and their distance in Å.
Atoms (fractional coordinates):
Pa: 0.0000 0.0000 0.0000  8 Hg 3.21, 4 Cd 3.49
Cd: 0.5000 0.5000 0.0000  8 Hg 3.21, 4 Pa 3.49
Hg: 0.0000 0.5000 0.5000  4 Cd 3.21, 4 Pa 3.21, 4 Hg 3.49
Hg: 0.5000 0.0000 0.5000  4 Cd 3.21, 4 Pa 3.21, 4 Hg 3.49

Results
Magnetic moment, μB/atom: 0.37
Theoretical density, g/cm3: 12.34
Calculated formation energy, meV per atom: 139
Energy above the lowest structure with this stoichiometry, meV per atom: 122
E, eV/cell: -10.46
Density of states at the Fermi level, states/eV per cell: 7.6
Space group: P4/mmm, No. 123